Crystalline Mg2ZrPb at its relaxed geometry. Source: Alexandria via LeMat-Bulk, functional GGA-PBEsol.

a = 4.3778 Å, b = 4.3778 Å, c = 4.5084 Å
α = 90.00°, β = 90.00°, γ = 90.00°
Space group P4/mmm (No. 123)
Unique sites:
Mg: 0.0000 0.5000 0.0000 [2 per cell]
Zr: 0.0000 0.0000 0.5000 [1 per cell]
Pb: 0.5000 0.5000 0.5000 [1 per cell]

Output
formation energy from the elements	-60	kJ/mol of formula units
magnetic moment	0.0	μB per formula unit